(1)
This record from Alexandria describes crystalline Ba3TeO at its relaxed geometry. The functional is PBE.

Values from the calculation:
Calculated total energy ... -4.271 eV per atom
Crystal system ... cubic
Total magnetic moment ... 0.00 Bohr magnetons per cell
Distance to the lowest polymorph of the same formula ... 0.000 eV/atom
V ... 162 Å³ per cell

```
data_Ba3TeO
_chemical_formula_sum 'Ba3 Te1 O1'
_cell_length_a 5.4481
_cell_length_b 5.4481
_cell_length_c 5.4481
_cell_angle_alpha 90.00
_cell_angle_beta 90.00
_cell_angle_gamma 90.00
_space_group_name_H-M_alt 'P m -3 m'
_space_group_IT_number 221
_space_group_name_Hall '-P 4 2 3'
loop_
_atom_site_label
_atom_site_type_symbol
_atom_site_fract_x
_atom_site_fract_y
_atom_site_fract_z
_atom_site_occupancy
Ba1 Ba 0.0000 0.0000 0.5000 1
Te1 Te 0.5000 0.5000 0.5000 1
O1 O 0.0000 0.0000 0.0000 1
```

(2)
This record from Alexandria describes crystalline Pm3AgPd4 at its relaxed geometry. The functional is PBE.

Values from the calculation:
Calculated total energy ... -5.337 eV per atom
Crystal system ... orthorhombic
Total magnetic moment ... 0.00 Bohr magnetons per cell
DFT formation energy ... -602.6 meV/atom
V ... 368 Å³ per cell

```
data_Pm3AgPd4
_chemical_formula_sum 'Pm6 Ag2 Pd8'
_cell_length_a 4.2306
_cell_length_b 21.6623
_cell_length_c 4.0189
_cell_angle_alpha 90.00
_cell_angle_beta 90.00
_cell_angle_gamma 90.00
_space_group_name_H-M_alt 'C m m m'
_space_group_IT_number 65
_space_group_name_Hall '-C 2 2'
loop_
_atom_site_label
_atom_site_type_symbol
_atom_site_fract_x
_atom_site_fract_y
_atom_site_fract_z
_atom_site_occupancy
Pm1 Pm 0.0000 0.0000 0.0000 1
Pm2 Pm 0.0000 0.1620 0.5000 1
Ag1 Ag 0.0000 0.5000 0.5000 1
Pd1 Pd 0.0000 0.2858 0.0000 1
Pd2 Pd 0.0000 0.4069 0.0000 1
```

(3)
This record from Alexandria describes crystalline Th3U3P8 at its relaxed geometry. The functional is PBE.

Values from the calculation:
Calculated total energy ... -8.246 eV per atom
Crystal system ... monoclinic
Total magnetic moment ... 11.88 Bohr magnetons per cell
DFT formation energy ... -1146.0 meV/atom
V ... 596 Å³ per cell

```
data_Th3U3P8
_chemical_formula_sum 'Th6 U6 P16'
_cell_length_a 11.8605
_cell_length_b 8.4043
_cell_length_c 8.3989
_cell_angle_alpha 90.00
_cell_angle_beta 134.60
_cell_angle_gamma 90.00
_space_group_name_H-M_alt 'C 1 2 1'
_space_group_IT_number 5
loop_
_space_group_symop_operation_xyz
'x,y,z'
'-x,y,-z'
'x+1/2,y+1/2,z'
'-x+1/2,y+1/2,-z'
loop_
_atom_site_label
_atom_site_type_symbol
_atom_site_fract_x
_atom_site_fract_y
_atom_site_fract_z
_atom_site_occupancy
Th1 Th 0.0000 0.0000 0.0000 1
Th2 Th 0.1274 0.3687 0.8784 1
U1 U 0.0000 0.7417 0.5000 1
U2 U 0.2494 0.6237 0.3731 1
P1 P 0.0717 0.0387 0.7306 1
P2 P 0.0728 0.6997 0.9020 1
P3 P 0.1702 0.4511 0.5848 1
P4 P 0.1818 0.2958 0.2689 1
```

(4)
This record from Alexandria describes crystalline Sr2LiPm at its relaxed geometry. The functional is PBE.

Values from the calculation:
Calculated total energy ... -2.328 eV per atom
Crystal system ... tetragonal
Total magnetic moment ... 0.00 Bohr magnetons per cell
Distance to the lowest polymorph of the same formula ... 0.041 eV/atom
DFT formation energy ... 179.4 meV/atom
V ... 162 Å³ per cell

```
data_Sr2LiPm
_chemical_formula_sum 'Sr2 Li1 Pm1'
_cell_length_a 6.1898
_cell_length_b 6.1898
_cell_length_c 4.2155
_cell_angle_alpha 90.00
_cell_angle_beta 90.00
_cell_angle_gamma 90.00
_space_group_name_H-M_alt 'P 4/m m m'
_space_group_IT_number 123
_space_group_name_Hall '-P 4 2'
loop_
_atom_site_label
_atom_site_type_symbol
_atom_site_fract_x
_atom_site_fract_y
_atom_site_fract_z
_atom_site_occupancy
Sr1 Sr 0.0000 0.5000 0.0000 1
Li1 Li 0.0000 0.0000 0.5000 1
Pm1 Pm 0.5000 0.5000 0.5000 1
```

(5)
This record from Alexandria describes crystalline Ac6Ru2CBr3 at its relaxed geometry. The functional is PBE.

Values from the calculation:
Calculated total energy ... -5.574 eV per atom
Crystal system ... monoclinic
Total magnetic moment ... 0.00 Bohr magnetons per cell
V ... 767 Å³ per cell

```
data_Ac6Ru2CBr3
_chemical_formula_sum 'Ac12 Ru4 C2 Br6'
_cell_length_a 7.3608
_cell_length_b 12.7364
_cell_length_c 8.5453
_cell_angle_alpha 90.00
_cell_angle_beta 106.78
_cell_angle_gamma 90.00
_space_group_name_H-M_alt 'C 1 2/m 1'
_space_group_IT_number 12
loop_
_space_group_symop_operation_xyz
'x,y,z'
'-x,-y,-z'
'-x,y,-z'
'x,-y,z'
'x+1/2,y+1/2,z'
'-x+1/2,-y+1/2,-z'
'-x+1/2,y+1/2,-z'
'x+1/2,-y+1/2,z'
loop_
_atom_site_label
_atom_site_type_symbol
_atom_site_fract_x
_atom_site_fract_y
_atom_site_fract_z
_atom_site_occupancy
Ac1 Ac 0.2218 0.1597 0.1884 1
Ac2 Ac 0.2433 0.5000 0.1878 1
Ru1 Ru 0.0000 0.3329 0.0000 1
C1 C 0.0000 0.0000 0.0000 1
Br1 Br 0.0000 0.1677 0.5000 1
Br2 Br 0.0000 0.5000 0.5000 1
```

(6)
This record from Alexandria describes crystalline RbAlS6 at its relaxed geometry. The functional is PBE.

Values from the calculation:
Calculated total energy ... -4.139 eV per atom
Crystal system ... triclinic
Total magnetic moment ... 0.00 Bohr magnetons per cell
V ... 199 Å³ per cell

```
data_RbAlS6
_chemical_formula_sum 'Rb1 Al1 S6'
_cell_length_a 4.9342
_cell_length_b 5.7125
_cell_length_c 7.8697
_cell_angle_alpha 83.52
_cell_angle_beta 80.03
_cell_angle_gamma 65.81
_space_group_name_H-M_alt 'P -1'
_space_group_IT_number 2
loop_
_space_group_symop_operation_xyz
'x,y,z'
'-x,-y,-z'
loop_
_atom_site_label
_atom_site_type_symbol
_atom_site_fract_x
_atom_site_fract_y
_atom_site_fract_z
_atom_site_occupancy
Rb1 Rb 0.0000 0.0000 0.0000 1
Al1 Al 0.5000 0.5000 0.5000 1
S1 S 0.1629 0.4897 0.7543 1
S2 S 0.2036 0.9606 0.5278 1
S3 S 0.2784 0.3828 0.2775 1
```